Compound: BaV2I
Source: Alexandria
Functional: PBE
Structure: optimized geometry

a = 5.1360 Å, b = 5.1360 Å, c = 5.1360 Å
α = 60.00°, β = 60.00°, γ = 60.00°
Element x y z (fractional)
I1 0.0000 0.0000 0.0000
Ba1 0.5000 0.5000 0.5000
V1 0.2500 0.2500 0.2500
V2 0.7500 0.7500 0.7500

Values from the calculation:
For the raw total energy, the calculation gives -17.3 eV/f.u. The value obtained for the energy relative to the elements, uncorrected is 1.105 eV/atom. The value obtained for the total magnetization is 5.7 μB/f.u.

---

Compound: TiS5Br
Source: Alexandria
Functional: PBE
Structure: optimized geometry

a = 4.9469 Å, b = 5.6018 Å, c = 6.9152 Å
α = 113.89°, β = 110.96°, γ = 90.00°
Element x y z (fractional)
Ti1 0.8087 0.3087 0.6175
S1 0.8105 0.1131 0.2262
S2 0.0046 0.5046 0.0092
S3 0.4156 0.1131 0.2262
S4 0.3600 0.5344 0.7199
S5 0.3600 0.1855 0.7199
Br1 0.7712 0.7712 0.5425

Values from the calculation:
For the raw total energy, the calculation gives -31.2 eV/f.u. The value obtained for the energy relative to the elements, uncorrected is -0.140 eV/atom. The value obtained for the total magnetization is 0.4 μB/f.u.

---

Compound: Ac3TlGe
Source: Alexandria
Functional: PBE
Structure: optimized geometry

a = 5.0090 Å, b = 8.3014 Å, c = 17.8308 Å
α = 90.00°, β = 90.00°, γ = 90.00°
Element x y z (fractional)
Ac1 0.2500 0.3712 0.5540
Ac2 0.7500 0.8296 0.2183
Ac3 0.7500 0.4865 0.8978
Ac4 0.7500 0.9865 0.6022
Ac5 0.7500 0.6288 0.4460
Ac6 0.2500 0.0135 0.3978
Ac7 0.2500 0.8712 0.9460
Ac8 0.7500 0.3296 0.2817
Ac9 0.2500 0.6704 0.7183
Ac10 0.2500 0.1704 0.7817
Ac11 0.7500 0.1288 0.0540
Ac12 0.2500 0.5135 0.1022
Tl1 0.7500 0.8890 0.8092
Tl2 0.2500 0.1110 0.1908
Tl3 0.7500 0.3890 0.6908
Tl4 0.2500 0.6110 0.3092
Ge1 0.2500 0.2791 0.9584
Ge2 0.2500 0.7791 0.5416
Ge3 0.7500 0.2209 0.4584
Ge4 0.7500 0.7209 0.0416

Values from the calculation:
For the energy of formation, the calculation gives -0.44 eV per atom. For the raw total energy, the calculation gives -21.5 eV/f.u. The value obtained for the total magnetization is 0.0 μB/f.u.

---

Compound: TbSmThZn
Source: Alexandria
Functional: PBE
Structure: optimized geometry

a = 3.5886 Å, b = 3.5886 Å, c = 8.6455 Å
α = 90.00°, β = 90.00°, γ = 90.00°
Element x y z (fractional)
Tb1 0.5000 0.5000 0.3588
Sm1 0.5000 0.5000 0.7854
Th1 0.0000 0.0000 0.0749
Zn1 0.0000 0.0000 0.5656

Values from the calculation:
For the energy of formation, the calculation gives -0.15 eV per atom. For the raw total energy, the calculation gives -18.7 eV/f.u. The value obtained for the total magnetization is 0.0 μB/f.u.

---

Compound: GdAlRu
Source: Alexandria
Functional: PBE
Structure: optimized geometry

a = 3.7084 Å, b = 4.3537 Å, c = 4.3537 Å
α = 120.00°, β = 90.00°, γ = 90.00°
Element x y z (fractional)
Ru1 0.1667 0.3333 0.6667
Gd1 0.6667 0.6667 0.3333
Al1 0.1667 0.0000 0.0000

Values from the calculation:
For the energy of formation, the calculation gives -0.41 eV per atom. For the raw total energy, the calculation gives -28.3 eV/f.u. The value obtained for the total magnetization is 7.0 μB/f.u.

---

Compound: Hf2Mn2As
Source: Alexandria
Functional: PBE
Structure: optimized geometry

a = 6.0968 Å, b = 6.0968 Å, c = 4.3380 Å
α = 90.00°, β = 90.00°, γ = 90.00°
Element x y z (fractional)
As1 0.0000 0.0000 0.0000
As2 0.5000 0.5000 0.0000
Mn1 0.3820 0.8820 0.0000
Mn2 0.8820 0.6180 0.0000
Mn3 0.6180 0.1180 0.0000
Mn4 0.1180 0.3820 0.0000
Hf1 0.1806 0.6806 0.5000
Hf2 0.6806 0.8194 0.5000
Hf3 0.8194 0.3194 0.5000
Hf4 0.3194 0.1806 0.5000

Values from the calculation:
For the energy of formation, the calculation gives -0.24 eV per atom. For the raw total energy, the calculation gives -44.1 eV/f.u. The value obtained for the total magnetization is 0.0 μB/f.u.

---

Compound: Tl6Cd7Pb16
Source: Alexandria
Functional: PBE
Structure: optimized geometry

a = 10.8628 Å, b = 10.8628 Å, c = 10.8628 Å
α = 60.00°, β = 60.00°, γ = 60.00°
Element x y z (fractional)
Tl1 0.2108 0.7892 0.2108
Tl2 0.7892 0.2108 0.7892
Tl3 0.2108 0.7892 0.7892
Tl4 0.7892 0.2108 0.2108
Tl5 0.2108 0.2108 0.7892
Tl6 0.7892 0.7892 0.2108
Cd1 0.5000 0.5000 0.5000
Cd2 0.5000 0.0000 0.5000
Cd3 0.0000 0.5000 0.0000
Cd4 0.5000 0.0000 0.0000
Cd5 0.0000 0.5000 0.5000
Cd6 0.5000 0.5000 0.0000
Cd7 0.0000 0.0000 0.5000
Pb1 0.4896 0.8368 0.8368
Pb2 0.8368 0.4896 0.8368
Pb3 0.8368 0.8368 0.8368
Pb4 0.8368 0.8368 0.4896
Pb5 0.1632 0.5104 0.1632
Pb6 0.5104 0.1632 0.1632
Pb7 0.1632 0.1632 0.1632
Pb8 0.1632 0.1632 0.5104
Pb9 0.1444 0.6185 0.6185
Pb10 0.6185 0.1444 0.6185
Pb11 0.6185 0.6185 0.6185
Pb12 0.6185 0.6185 0.1444
Pb13 0.3815 0.8556 0.3815
Pb14 0.8556 0.3815 0.3815
Pb15 0.3815 0.3815 0.3815
Pb16 0.3815 0.3815 0.8556

Values from the calculation:
For the energy of formation, the calculation gives 0.06 eV per atom. For the raw total energy, the calculation gives -78.3 eV/f.u. The value obtained for the total magnetization is 0.0 μB/f.u.

---

Compound: LiBIrPd
Source: Alexandria
Functional: PBE
Structure: optimized geometry

a = 3.9535 Å, b = 3.9535 Å, c = 3.9535 Å
α = 60.00°, β = 60.00°, γ = 60.00°
Element x y z (fractional)
B1 0.5000 0.5000 0.5000
Ir1 0.7500 0.7500 0.7500
Pd1 0.2500 0.2500 0.2500
Li1 0.0000 0.0000 0.0000

Values from the calculation:
For the energy of formation, the calculation gives -0.11 eV per atom. For the raw total energy, the calculation gives -23.1 eV/f.u. The value obtained for the total magnetization is 0.0 μB/f.u.

---

Compound: Li2IrRh
Source: Alexandria
Functional: PBE
Structure: optimized geometry

a = 2.6395 Å, b = 2.6395 Å, c = 8.8093 Å
α = 90.00°, β = 90.00°, γ = 117.27°
Element x y z (fractional)
Ir1 0.5000 0.5000 0.7500
Rh1 0.5000 0.5000 0.2500
Li1 0.0000 0.0000 0.0005
Li2 0.0000 0.0000 0.4995

Values from the calculation:
For the energy of formation, the calculation gives -0.17 eV per atom. For the raw total energy, the calculation gives -20.7 eV/f.u. The value obtained for the total magnetization is 0.4 μB/f.u.

---

Compound: SnBiF3
Source: Alexandria
Functional: PBE
Structure: optimized geometry

a = 4.6940 Å, b = 4.6940 Å, c = 4.6940 Å
α = 90.00°, β = 90.00°, γ = 90.00°
Element x y z (fractional)
F1 0.0000 0.5000 0.0000
F2 0.0000 0.0000 0.5000
F3 0.5000 0.0000 0.0000
Bi1 0.5000 0.5000 0.5000
Sn1 0.0000 0.0000 0.0000

Values from the calculation:
For the raw total energy, the calculation gives -20.5 eV/f.u. The value obtained for the energy relative to the elements, uncorrected is -1.392 eV/atom. The value obtained for the total magnetization is 2.1 μB/f.u.

---

Compound: LiSn2Hg2S6
Source: Alexandria
Functional: PBE
Structure: optimized geometry

a = 6.6026 Å, b = 6.6026 Å, c = 6.9827 Å
α = 100.97°, β = 100.97°, γ = 119.69°
Element x y z (fractional)
Li1 0.0000 0.0000 0.5000
Sn1 0.3324 0.6676 0.5000
Sn2 0.6676 0.3324 0.5000
Hg1 0.8318 0.1682 0.0000
Hg2 0.1682 0.8318 0.0000
S1 0.7595 0.7595 0.7263
S2 0.0829 0.4286 0.7273
S3 0.2405 0.2405 0.2737
S4 0.4286 0.0829 0.7273
S5 0.9171 0.5714 0.2727
S6 0.5714 0.9171 0.2727

Values from the calculation:
For the raw total energy, the calculation gives -39.3 eV/f.u. The value obtained for the energy relative to the elements, uncorrected is -0.365 eV/atom. The value obtained for the total magnetization is 0.0 μB/f.u.

---

Compound: Th2Rh5
Source: Alexandria
Functional: PBE
Structure: optimized geometry

a = 5.8530 Å, b = 7.1197 Å, c = 7.2388 Å
α = 60.54°, β = 90.00°, γ = 90.00°
Element x y z (fractional)
Th1 0.5000 0.3053 0.7934
Th2 0.0000 0.0987 0.2066
Th3 0.5000 0.6947 0.2066
Th4 0.0000 0.9013 0.7934
Rh1 0.5000 0.0894 0.2660
Rh2 0.0000 0.3553 0.7340
Rh3 0.2500 0.7304 0.5391
Rh4 0.2500 0.2696 0.4609
Rh5 0.7500 0.2696 0.4609
Rh6 0.7500 0.7304 0.5391
Rh7 0.0000 0.6447 0.2660
Rh8 0.5000 0.9106 0.7340
Rh9 0.7500 0.5000 0.0000
Rh10 0.2500 0.5000 0.0000

Values from the calculation:
For the energy of formation, the calculation gives -0.71 eV per atom. For the raw total energy, the calculation gives -56.6 eV/f.u. The value obtained for the total magnetization is 0.0 μB/f.u.

---

Compound: Pr2DyTm
Source: Alexandria
Functional: PBE
Structure: optimized geometry

a = 5.7529 Å, b = 5.7529 Å, c = 5.7529 Å
α = 60.00°, β = 60.00°, γ = 60.00°
Element x y z (fractional)
Pr1 0.2500 0.2500 0.2500
Pr2 0.7500 0.7500 0.7500
Tm1 0.5000 0.5000 0.5000
Dy1 0.0000 0.0000 0.0000

Values from the calculation:
For the energy of formation, the calculation gives 0.10 eV per atom. For the raw total energy, the calculation gives -18.2 eV/f.u. The value obtained for the total magnetization is 0.0 μB/f.u.

---

Compound: Ho2Zn7Pd
Source: Alexandria
Functional: PBE
Structure: optimized geometry

a = 4.0311 Å, b = 4.0311 Å, c = 11.1211 Å
α = 90.00°, β = 90.00°, γ = 90.00°
Element x y z (fractional)
Ho1 0.5000 0.0000 0.7509
Ho2 0.0000 0.5000 0.2491
Zn1 0.0000 0.5000 0.8583
Zn2 0.5000 0.0000 0.3607
Zn3 0.5000 0.0000 0.1417
Zn4 0.0000 0.5000 0.6393
Zn5 0.0000 0.0000 0.5000
Zn6 0.0000 0.0000 0.0000
Zn7 0.5000 0.5000 0.5000
Pd1 0.5000 0.5000 0.0000

Values from the calculation:
For the energy of formation, the calculation gives -0.36 eV per atom. For the raw total energy, the calculation gives -26.9 eV/f.u. The value obtained for the total magnetization is 0.0 μB/f.u.

---

Compound: LiYCo2
Source: Alexandria
Functional: PBE
Structure: optimized geometry

a = 3.8362 Å, b = 3.8947 Å, c = 5.2284 Å
α = 68.06°, β = 90.00°, γ = 90.00°
Element x y z (fractional)
Co1 0.0000 0.1730 0.0294
Co2 0.5000 0.0667 0.2405
Li1 0.0000 0.4861 0.4029
Y1 0.5000 0.7741 0.8272

Values from the calculation:
For the energy of formation, the calculation gives 0.14 eV per atom. For the raw total energy, the calculation gives -22.0 eV/f.u. The value obtained for the total magnetization is 1.9 μB/f.u.

---

Compound: Ba2TaP
Source: Alexandria
Functional: PBE
Structure: optimized geometry

a = 6.0479 Å, b = 6.0479 Å, c = 6.0479 Å
α = 133.52°, β = 133.52°, γ = 67.84°
Element x y z (fractional)
Ba1 0.0000 0.0000 0.0000
Ba2 0.2500 0.7500 0.5000
P1 0.5000 0.5000 0.0000
Ta1 0.7500 0.2500 0.5000

Values from the calculation:
For the energy of formation, the calculation gives 0.73 eV per atom. For the raw total energy, the calculation gives -18.2 eV/f.u. The value obtained for the total magnetization is 0.0 μB/f.u.

---

Compound: Ba2AcS
Source: Alexandria
Functional: PBE
Structure: optimized geometry

a = 4.2241 Å, b = 4.2241 Å, c = 12.1497 Å
α = 79.99°, β = 79.99°, γ = 60.00°
Element x y z (fractional)
S1 0.5000 0.5000 0.5000
Ac1 0.0000 0.0000 0.0000
Ba1 0.1133 0.1133 0.6600
Ba2 0.8867 0.8867 0.3400

Values from the calculation:
For the raw total energy, the calculation gives -15.1 eV/f.u. The value obtained for the energy relative to the elements, uncorrected is -0.767 eV/atom. The value obtained for the total magnetization is 0.0 μB/f.u.

---

Compound: CeZr3Se6
Source: Alexandria
Functional: PBE
Structure: optimized geometry

a = 3.8519 Å, b = 11.2333 Å, c = 11.5000 Å
α = 108.79°, β = 90.00°, γ = 90.00°
Element x y z (fractional)
Ce1 0.7500 0.0481 0.7036
Ce2 0.2500 0.9519 0.2964
Zr1 0.7500 0.4429 0.8574
Zr2 0.2500 0.5571 0.1426
Zr3 0.7500 0.6806 0.5062
Zr4 0.2500 0.3194 0.4938
Zr5 0.7500 0.1287 0.0747
Zr6 0.2500 0.8713 0.9253
Se1 0.7500 0.4857 0.6204
Se2 0.2500 0.5143 0.3796
Se3 0.7500 0.8968 0.0949
Se4 0.2500 0.1032 0.9051
Se5 0.7500 0.3794 0.0671
Se6 0.2500 0.6206 0.9329
Se7 0.7500 0.7248 0.2736
Se8 0.2500 0.2752 0.7264
Se9 0.7500 0.1294 0.4703
Se10 0.2500 0.8706 0.5297
Se11 0.7500 0.7998 0.7508
Se12 0.2500 0.2002 0.2492

Values from the calculation:
For the raw total energy, the calculation gives -66.7 eV/f.u. The value obtained for the energy relative to the elements, uncorrected is -1.417 eV/atom. The value obtained for the total magnetization is 0.7 μB/f.u.

---

Compound: KMgTl3Cd
Source: Alexandria
Functional: PBE
Structure: optimized geometry

a = 4.7274 Å, b = 8.9723 Å, c = 9.3101 Å
α = 90.00°, β = 90.00°, γ = 105.27°
Element x y z (fractional)
K1 0.7973 0.5945 0.7500
K2 0.2027 0.4055 0.2500
Mg1 0.0000 0.0000 0.5000
Mg2 0.0000 0.0000 0.0000
Tl1 0.6210 0.2419 0.5028
Tl2 0.3790 0.7581 0.4972
Tl3 0.3790 0.7581 0.0028
Tl4 0.6210 0.2419 0.9972
Tl5 0.1324 0.2647 0.7500
Tl6 0.8676 0.7353 0.2500
Cd1 0.4918 0.9836 0.7500
Cd2 0.5082 0.0164 0.2500

Values from the calculation:
For the energy of formation, the calculation gives -0.04 eV per atom. For the raw total energy, the calculation gives -10.9 eV/f.u. The value obtained for the total magnetization is 0.0 μB/f.u.

---

Compound: SrB2Cl
Source: Alexandria
Functional: PBE
Structure: optimized geometry

a = 7.9718 Å, b = 7.9718 Å, c = 6.2285 Å
α = 50.21°, β = 50.21°, γ = 90.00°
Element x y z (fractional)
Sr1 0.0000 0.0000 0.0000
Sr2 0.7500 0.2500 0.5000
B1 0.6107 0.1250 0.2500
B2 0.1393 0.6250 0.2500
B3 0.3750 0.3893 0.7500
B4 0.8750 0.8607 0.7500
Cl1 0.5000 0.5000 0.0000
Cl2 0.2500 0.7500 0.5000

Values from the calculation:
For the raw total energy, the calculation gives -12.1 eV/f.u. The value obtained for the energy relative to the elements, uncorrected is 1.199 eV/atom. The value obtained for the total magnetization is 0.0 μB/f.u.

---

Compound: LiTbPa2Se6
Source: Alexandria
Functional: PBE
Structure: optimized geometry

a = 6.9695 Å, b = 6.5282 Å, c = 6.5282 Å
α = 90.00°, β = 90.00°, γ = 90.00°
Element x y z (fractional)
Li1 0.5420 0.0000 0.0000
Tb1 0.5680 0.5000 0.5000
Pa1 0.9930 0.5000 0.0000
Pa2 0.9930 0.0000 0.5000
Se1 0.7524 0.2401 0.2401
Se2 0.7524 0.2401 0.7599
Se3 0.1649 0.5000 0.5000
Se4 0.1762 0.0000 0.0000
Se5 0.7524 0.7599 0.7599
Se6 0.7524 0.7599 0.2401

Values from the calculation:
For the raw total energy, the calculation gives -57.1 eV/f.u. The value obtained for the energy relative to the elements, uncorrected is -1.062 eV/atom. The value obtained for the total magnetization is 2.0 μB/f.u.

---

Compound: TlSiPt2
Source: Alexandria
Functional: PBE
Structure: optimized geometry

a = 4.2983 Å, b = 4.2983 Å, c = 5.8503 Å
α = 80.40°, β = 80.40°, γ = 49.27°
Element x y z (fractional)
Pt1 0.0199 0.0199 0.9336
Pt2 0.7675 0.7675 0.6371
Si1 0.4562 0.4562 0.6922
Tl1 0.2564 0.2564 0.2370

Values from the calculation:
For the raw total energy, the calculation gives -21.0 eV/f.u. The value obtained for the energy relative to the elements, uncorrected is -0.277 eV/atom. The value obtained for the total magnetization is 0.0 μB/f.u.

---

Compound: Tb6HoAl4
Source: Alexandria
Functional: PBE
Structure: optimized geometry

a = 7.7581 Å, b = 7.7581 Å, c = 7.7581 Å
α = 85.68°, β = 122.52°, γ = 122.52°
Element x y z (fractional)
Tb1 0.0000 0.9115 0.5301
Tb2 0.0000 0.5301 0.9115
Tb3 0.6186 0.0885 0.0885
Tb4 0.5000 0.0000 0.5000
Tb5 0.3814 0.4699 0.4699
Tb6 0.5000 0.5000 0.0000
Ho1 0.0000 0.0000 0.0000
Al1 0.0000 0.2879 0.5892
Al2 0.6987 0.4108 0.4108
Al3 0.0000 0.5892 0.2879
Al4 0.3013 0.7121 0.7121

Values from the calculation:
For the energy of formation, the calculation gives -0.14 eV per atom. For the raw total energy, the calculation gives -48.9 eV/f.u. The value obtained for the total magnetization is 0.0 μB/f.u.

---

Compound: AlCoPt4
Source: Alexandria
Functional: PBE
Structure: optimized geometry

a = 5.2197 Å, b = 5.2197 Å, c = 5.2197 Å
α = 60.00°, β = 60.00°, γ = 60.00°
Element x y z (fractional)
Al1 0.7500 0.7500 0.7500
Co1 0.0000 0.0000 0.0000
Pt1 0.8752 0.3749 0.3749
Pt2 0.3749 0.3749 0.8752
Pt3 0.3749 0.8752 0.3749
Pt4 0.3749 0.3749 0.3749

Values from the calculation:
For the energy of formation, the calculation gives 0.13 eV per atom. For the raw total energy, the calculation gives -34.2 eV/f.u. The value obtained for the total magnetization is 2.2 μB/f.u.